Compound: MgMoI3
Source: Alexandria via LeMat-Bulk
Functional: PBE
Structure: relaxed

Results
The formation energy from raw total energies is 23 kJ/mol of atoms. For the calculated density, the calculation gives 4.46 g/cm3.

a b c (Å): 5.7140 5.7140 5.7140
angles (deg): 90.00 90.00 90.00
With the nearest neighbours (Å) after each atom.
Fractional positions:
I (0.0000, 0.5000, 0.0000)  2 Mo 2.86
I (0.0000, 0.0000, 0.5000)  2 Mo 2.86
I (0.5000, 0.0000, 0.0000)  2 Mo 2.86
Mo (0.0000, 0.0000, 0.0000)  6 I 2.86
Mg (0.5000, 0.5000, 0.5000)  12 I 4.04

=====

Compound: TiBiO2F
Source: Alexandria via LeMat-Bulk
Functional: PBE
Structure: relaxed

Results
The formation energy from raw total energies is -59 kJ/mol of atoms. For the calculated density, the calculation gives 5.73 g/cm3.

a b c (Å): 4.4804 4.4804 4.4412
angles (deg): 90.00 90.00 90.00
With the nearest neighbours (Å) after each atom.
Fractional positions:
F (0.0000, 0.0000, 0.5000)  2 Bi 2.22
Bi (0.0000, 0.0000, 0.0000)  2 F 2.22, 4 O 2.24
O (0.0000, 0.5000, 0.0000)  2 Bi 2.24
O (0.5000, 0.0000, 0.0000)  2 Bi 2.24
Ti (0.5000, 0.5000, 0.5000)  8 O 3.15, 4 F 3.17

=====

Compound: Ho2ErGa
Source: Alexandria via LeMat-Bulk
Functional: PBE
Structure: relaxed

Results
For the calculated density, the calculation gives 8.60 g/cm3. The energy comes out at -4.468 eV per atom.

a b c (Å): 3.6397 6.5878 9.5029
angles (deg): 90.00 90.00 106.03
With the nearest neighbours (Å) after each atom.
Fractional positions:
Ho (0.3660, 0.7313, 0.5498)  3 Ga 3.05-3.17
Ho (0.6340, 0.2687, 0.4502)  3 Ga 3.05-3.17
Ho (0.3660, 0.7313, 0.9502)  3 Ga 3.05-3.17
Ho (0.6340, 0.2687, 0.0498)  3 Ga 3.05-3.17
Er (0.9450, 0.8902, 0.2500)  2 Ga 3.01
Er (0.0550, 0.1098, 0.7500)  2 Ga 3.01
Ga (0.7440, 0.4877, 0.7500)  2 Er 3.01, 6 Ho 3.05-3.17
Ga (0.2560, 0.5123, 0.2500)  2 Er 3.01, 6 Ho 3.05-3.17

=====

Compound: NbBiOs2W
Source: Alexandria via LeMat-Bulk
Functional: PBE
Structure: relaxed

Results
For the calculated density, the calculation gives 12.39 g/cm3. The energy comes out at -7.864 eV per atom.

a b c (Å): 4.7429 5.1595 4.7429
angles (deg): 90.00 90.00 90.00
With the nearest neighbours (Å) after each atom.
Fractional positions:
Nb (0.5000, 0.5000, 0.5000)  4 Bi 3.35, 8 Os 3.50
Os (0.0000, 0.0000, 0.5000)  2 W 2.37
Os (0.5000, 0.0000, 0.0000)  2 W 2.37
Bi (0.0000, 0.5000, 0.0000)  2 W 2.58
W (0.0000, 0.0000, 0.0000)  4 Os 2.37, 2 Bi 2.58

=====

Compound: Ti2BeBi
Source: Alexandria via LeMat-Bulk
Functional: PBE
Structure: relaxed

Results
For the calculated density, the calculation gives 7.18 g/cm3. The energy comes out at -5.564 eV per atom.

a b c (Å): 7.2132 7.2132 5.8126
angles (deg): 51.65 51.65 90.00
With the nearest neighbours (Å) after each atom.
Fractional positions:
Be (0.5000, 0.5000, 0.0000)  4 Ti 2.50, 2 Bi 2.79
Be (0.2500, 0.7500, 0.5000)  4 Ti 2.50, 2 Bi 2.79
Bi (0.0000, 0.0000, 0.0000)  2 Be 2.79, 4 Ti 2.80
Bi (0.7500, 0.2500, 0.5000)  2 Be 2.79, 4 Ti 2.80
Ti (0.5945, 0.1250, 0.2500)  2 Be 2.50, 2 Bi 2.80
Ti (0.1555, 0.6250, 0.2500)  2 Be 2.50, 2 Bi 2.80
Ti (0.3750, 0.4055, 0.7500)  2 Be 2.50, 2 Bi 2.80
Ti (0.8750, 0.8445, 0.7500)  2 Be 2.50, 2 Bi 2.80

=====

Compound: La2Pr4Dy3
Source: Alexandria via LeMat-Bulk
Functional: PBE
Structure: relaxed

Results
For the calculated density, the calculation gives 6.93 g/cm3. The energy comes out at -4.698 eV per atom.

a b c (Å): 3.6605 3.6605 27.4395
angles (deg): 90.00 90.00 120.00
With the nearest neighbours (Å) after each atom.
Fractional positions:
La (0.6667, 0.3333, 0.0877)  3 Dy 3.58, 1 Pr 3.64, 6 La 3.66
La (0.6667, 0.3333, 0.8743)  3 Dy 3.64, 6 La 3.66, 3 Pr 3.82
Pr (0.0000, 0.0000, 0.5455)  3 Dy 3.61, 9 Pr 3.66-3.77
Pr (0.6667, 0.3333, 0.4317)  3 Dy 3.63, 9 Pr 3.66-3.77
Pr (0.6667, 0.3333, 0.2205)  3 Dy 3.55, 1 La 3.64, 6 Pr 3.66
Pr (0.0000, 0.0000, 0.7583)  3 Dy 3.60, 6 Pr 3.66, 3 La 3.82
Dy (0.0000, 0.0000, 0.9825)  6 La 3.58-3.64, 6 Dy 3.66
Dy (0.0000, 0.0000, 0.3243)  6 Pr 3.55-3.63, 6 Dy 3.66
Dy (0.6667, 0.3333, 0.6523)  6 Pr 3.60-3.61, 6 Dy 3.66

=====

Compound: Ce2BPRh6
Source: Alexandria via LeMat-Bulk
Functional: PBE
Structure: relaxed

Results
For the calculated density, the calculation gives 9.33 g/cm3. The energy comes out at -7.487 eV per atom.

a b c (Å): 4.3862 4.3862 8.6879
angles (deg): 90.00 90.00 90.00
With the nearest neighbours (Å) after each atom.
Fractional positions:
Ce (0.0000, 0.0000, 0.7389)  12 Rh 3.02-3.16
Ce (0.0000, 0.0000, 0.2611)  12 Rh 3.02-3.16
B (0.5000, 0.5000, 0.5000)  6 Rh 2.06-2.19
P (0.5000, 0.5000, 0.0000)  6 Rh 2.19-2.29
Rh (0.5000, 0.0000, 0.0000)  2 P 2.19
Rh (0.5000, 0.0000, 0.5000)  2 B 2.19
Rh (0.0000, 0.5000, 0.0000)  2 P 2.19
Rh (0.0000, 0.5000, 0.5000)  2 B 2.19
Rh (0.5000, 0.5000, 0.7368)  1 B 2.06, 1 P 2.29
Rh (0.5000, 0.5000, 0.2632)  1 B 2.06, 1 P 2.29

=====

Compound: DyEr3Ir
Source: Alexandria via LeMat-Bulk
Functional: PBE
Structure: relaxed

Results
For the calculated density, the calculation gives 9.48 g/cm3. The energy comes out at -5.785 eV per atom.

a b c (Å): 6.1251 6.4891 7.5511
angles (deg): 90.00 90.00 90.01
With the nearest neighbours (Å) after each atom.
Fractional positions:
Dy (0.4287, 0.3280, 0.7008)  1 Ir 2.75
Dy (0.9287, 0.0247, 0.2007)  1 Ir 2.75
Er (0.4219, 0.3296, 0.2008)  1 Ir 2.72
Er (0.4260, 0.8637, 0.9512)  2 Ir 2.72
Er (0.9261, 0.4892, 0.4512)  2 Ir 2.72
Er (0.9219, 0.0231, 0.7007)  1 Ir 2.73
Er (0.9261, 0.4891, 0.9504)  2 Ir 2.72
Er (0.4260, 0.8637, 0.4503)  2 Ir 2.72
Ir (0.1755, 0.6781, 0.7008)  5 Er 2.72-2.73, 1 Dy 2.75
Ir (0.6755, 0.6746, 0.2008)  5 Er 2.72, 1 Dy 2.75

=====

Compound: Rb3SbPb2S6
Source: Alexandria via LeMat-Bulk
Functional: PBE
Structure: relaxed

Results
The formation energy from raw total energies is -65 kJ/mol of atoms. For the calculated density, the calculation gives 4.60 g/cm3.

a b c (Å): 7.3486 7.3486 7.9834
angles (deg): 99.00 99.00 119.74
With the nearest neighbours (Å) after each atom.
Fractional positions:
Rb (0.1758, 0.8242, 0.5000)  6 S 3.30-3.54
Rb (0.8242, 0.1758, 0.5000)  6 S 3.30-3.54
Rb (0.5000, 0.5000, 0.5000)  6 S 3.27-3.65
Sb (0.0000, 0.0000, 0.0000)  6 S 2.58
Pb (0.3341, 0.6659, 0.0000)  6 S 3.01-3.03
Pb (0.6659, 0.3341, 0.0000)  6 S 3.01-3.03
S (0.9356, 0.6459, 0.8063)  1 Sb 2.58
S (0.7812, 0.7812, 0.1961)  1 Sb 2.58
S (0.0644, 0.3541, 0.1937)  1 Sb 2.58
S (0.6459, 0.9356, 0.8063)  1 Sb 2.58
S (0.2188, 0.2188, 0.8039)  1 Sb 2.58
S (0.3541, 0.0644, 0.1937)  1 Sb 2.58

=====

Compound: BaCuTc2O8
Source: Alexandria via LeMat-Bulk
Functional: PBE
Structure: relaxed

Results
The formation energy from raw total energies is -149 kJ/mol of atoms. For the calculated density, the calculation gives 4.23 g/cm3.

a b c (Å): 5.6994 5.6994 7.3168
angles (deg): 90.00 90.00 120.00
With the nearest neighbours (Å) after each atom.
Fractional positions:
Ba (0.0000, 0.0000, 0.0000)  6 O 2.83
Cu (0.0000, 0.0000, 0.5000)  6 O 2.10
Tc (0.6667, 0.3333, 0.2486)  4 O 1.77-1.78
Tc (0.3333, 0.6667, 0.7514)  4 O 1.77-1.78
O (0.3333, 0.6667, 0.9939)  1 Tc 1.77
O (0.3246, 0.2056, 0.3176)  1 Tc 1.78
O (0.7944, 0.1190, 0.3176)  1 Tc 1.78
O (0.6667, 0.3333, 0.0061)  1 Tc 1.77
O (0.2056, 0.8810, 0.6824)  1 Tc 1.78
O (0.6754, 0.7944, 0.6824)  1 Tc 1.78
O (0.1190, 0.3246, 0.6824)  1 Tc 1.78
O (0.8810, 0.6754, 0.3176)  1 Tc 1.78